Record 1
Compound: Hf2TaV2
Source: Alexandria via LeMat-Bulk
Functional: GGA-PBE
Structure: relaxed

N(E_F): 1.383 states/eV/atom
energy of formation from the pure elements: 251.3 meV/atom
E_tot: -9.748 eV/atom

Cell lengths 6.9670, 6.9670, 3.7940 Å; angles 90.00, 90.00, 90.00 degrees
Fractional positions:
Ta 0.0000 0.0000 0.0000
Hf 0.3317 0.1683 0.5000
Hf 0.1683 0.6683 0.5000
V 0.8669 0.6331 0.0000
Ta 0.5000 0.5000 0.0000
Hf 0.8317 0.3317 0.5000
Hf 0.6683 0.8317 0.5000
V 0.1331 0.3669 0.0000
V 0.6331 0.1331 0.0000
V 0.3669 0.8669 0.0000



Record 2
Compound: Ba2AuF
Source: Alexandria via LeMat-Bulk
Functional: GGA-PBE
Structure: relaxed

N(E_F): 0.472 states/eV/atom
E_tot: -3.913 eV/atom
formation energy from raw total energies: -1.66 eV/atom

Cell lengths 4.9005, 4.9005, 8.9680 Å; angles 74.14, 74.14, 60.00 degrees
Fractional positions:
Ba 0.9034 0.9034 0.2897
Au 0.5000 0.5000 0.5000
F 0.0000 0.0000 0.0000
Ba 0.0966 0.0966 0.7103



Record 3
Compound: CaTm5Cu4
Source: Alexandria via LeMat-Bulk
Functional: GGA-PBE
Structure: relaxed

N(E_F): 0.894 states/eV/atom
energy of formation from the pure elements: -190.6 meV/atom
E_tot: -4.265 eV/atom

Cell lengths 3.4417, 3.4417, 19.3413 Å; angles 90.00, 90.00, 90.00 degrees
Fractional positions:
Cu 0.0000 0.0000 0.2332
Tm 0.5000 0.5000 0.6765
Tm 0.5000 0.5000 0.8499
Cu 0.0000 0.0000 0.7668
Cu 0.0000 0.0000 0.5871
Cu 0.0000 0.0000 0.4129
Tm 0.5000 0.5000 0.3235
Ca 0.0000 0.0000 0.0000
Tm 0.5000 0.5000 0.1501
Tm 0.5000 0.5000 0.5000



Record 4
Compound: NbAlPd2
Source: Alexandria via LeMat-Bulk
Functional: GGA-PBE
Structure: relaxed

N(E_F): 0.784 states/eV/atom
energy of formation from the pure elements: -446.0 meV/atom
E_tot: -6.495 eV/atom

Cell lengths 2.9205, 2.9205, 8.7671 Å; angles 80.41, 80.41, 60.00 degrees
Fractional positions:
Pd 0.2426 0.2426 0.2721
Pd 0.0906 0.0906 0.7282
Nb 0.6665 0.6665 0.0005
Al 0.5002 0.5002 0.4993



Record 5
Compound: VPdRh2
Source: Alexandria via LeMat-Bulk
Functional: GGA-PBE
Structure: relaxed

N(E_F): 0.608 states/eV/atom
energy of formation from the pure elements: 44.1 meV/atom
E_tot: -7.209 eV/atom

Cell lengths 6.9035, 6.9035, 5.5411 Å; angles 51.47, 51.47, 90.00 degrees
Fractional positions:
Rh 0.1710 0.6250 0.2500
Pd 0.7500 0.2500 0.5000
Pd 0.0000 0.0000 0.0000
Rh 0.5790 0.1250 0.2500
V 0.2500 0.7500 0.5000
Rh 0.8750 0.8290 0.7500
V 0.5000 0.5000 0.0000
Rh 0.3750 0.4210 0.7500



Record 6
Compound: Al2VRe2
Source: Alexandria via LeMat-Bulk
Functional: GGA-PBE
Structure: relaxed

N(E_F): 1.063 states/eV/atom
energy of formation from the pure elements: 444.6 meV/atom
E_tot: -7.855 eV/atom

Cell lengths 3.6599, 3.6599, 6.7491 Å; angles 74.27, 74.27, 90.00 degrees
Each line ends with the local moment (μB).
Fractional positions:
Re 0.2500 0.7500 0.5000  0.22
Al 0.4013 0.4013 0.1975  -0.02
V 0.0000 0.0000 0.0000  2.04
Re 0.7500 0.2500 0.5000  0.22
Al 0.5987 0.5987 0.8025  -0.02